Entry 1:
Crystalline NaTiMn2Te at its relaxed geometry. Source: Alexandria via LeMat-Bulk, functional PBE.

Lattice parameters (Å, degrees): 4.685 4.685 5.193 90.00 90.00 90.00
Space group P4/mmm (No. 123)
Inequivalent atoms, fractional coordinates:
Na (0.000, 0.000, 0.000)
Ti (0.500, 0.500, 0.000)
Mn (0.000, 0.500, 0.500)
Te (0.000, 0.000, 0.500)

Entry 2:
Crystalline Na3Ti2MnTe6 at its relaxed geometry. Source: Alexandria via LeMat-Bulk, functional PBE.

Lattice parameters (Å, degrees): 7.171 12.231 7.886 90.00 107.68 90.00
Space group C2/m (No. 12)
Inequivalent atoms, fractional coordinates:
Na (0.000, 0.000, 0.000)
Na (0.000, 0.326, 0.000)
Ti (0.000, 0.151, 0.500)
Mn (0.000, 0.500, 0.500)
Te (0.233, 0.331, 0.701)
Te (0.240, 0.000, 0.725)

| no. | Fermi-level density of states (states/eV per cell) | raw formation energy (eV per atom) | raw total energy (eV per atom) |
| --- | --- | --- | --- |
| 1 | 9.14 | 1.433 | -4.706 |
| 2 | 6.44 | -0.680 | -4.661 |